First-principles (GGA-PBE) data for Cs6K9Hg after structural relaxation, as listed in the Alexandria database.

**SG**: I4/m (87)
**Formation energy**: -0.01 eV per atom

Cell: 12.083 12.083 12.440 Å, 119.06 119.06 90.00°
Atoms (fractional coordinates):
1 K 0.437 0.010 0.658
2 Hg 0.000 0.000 0.000
3 K 0.352 0.563 0.342
4 Cs 0.881 0.302 0.000
5 Cs 0.206 0.206 0.412
6 K 0.779 0.352 0.342
7 Cs 0.794 0.794 0.588
8 K 0.990 0.779 0.342
9 K 0.563 0.990 0.342
10 K 0.010 0.221 0.658
11 Cs 0.302 0.119 0.000
12 K 0.648 0.437 0.658
13 K 0.500 0.500 0.000
14 Cs 0.119 0.698 0.000
15 K 0.221 0.648 0.658
16 Cs 0.698 0.881 0.000



First-principles (GGA-PBE) data for KCd4Au2 after structural relaxation, as listed in the Alexandria database.

**SG**: P4_2/mnm (136)
**Formation energy**: -0.24 eV per atom

Cell: 4.575 8.638 8.638 Å, 90.00 90.00 90.00°
Atoms (fractional coordinates):
1 K 0.500 0.000 0.000
2 Cd 0.500 0.590 0.157
3 Cd 0.500 0.843 0.410
4 Cd 0.500 0.157 0.590
5 Au 0.500 0.721 0.721
6 Au 0.500 0.279 0.279
7 Cd 0.000 0.343 0.090
8 Cd 0.000 0.090 0.343
9 K 0.000 0.500 0.500
10 Cd 0.000 0.910 0.657
11 Au 0.000 0.221 0.779
12 Au 0.000 0.779 0.221
13 Cd 0.500 0.410 0.843
14 Cd 0.000 0.657 0.910



First-principles (GGA-PBE) data for Si3WI after structural relaxation, as listed in the Alexandria database.

**SG**: Pm-3m (221)
**Formation energy from raw total energies**: 2.623 eV/atom

Cell: 4.974 4.974 4.974 Å, 90.00 90.00 90.00°
Atoms (fractional coordinates):
1 I 0.000 0.000 0.000
2 Si 0.000 0.000 0.500
3 Si 0.500 0.000 0.000
4 Si 0.000 0.500 0.000
5 W 0.500 0.500 0.500



First-principles (GGA-PBE) data for LiNi3Ru after structural relaxation, as listed in the Alexandria database.

**SG**: Pm-3m (221)
**Formation energy**: 1.04 eV per atom

Cell: 4.503 4.503 4.503 Å, 90.00 90.00 90.00°
Atoms (fractional coordinates):
1 Ru 0.000 0.000 0.000
2 Ni 0.000 0.000 0.500
3 Ni 0.500 0.000 0.000
4 Ni 0.000 0.500 0.000
5 Li 0.500 0.500 0.500



Values of volume, in order: 1320.1 341.4 123.0 91.3, all in Å³/cell.